[1]
# Co5B2W4 (PBE, relaxed)
data_Co5B2W4
_chemical_formula_sum 'Co5 B2 W4'
_symmetry_space_group_name_H-M 'P 1 2/m 1'
_symmetry_Int_Tables_number 10
_cell_length_a 5.929
_cell_length_b 3.013
_cell_length_c 7.321
_cell_angle_alpha 90.00
_cell_angle_beta 96.46
_cell_angle_gamma 90.00
loop_
_symmetry_equiv_pos_as_xyz
'x,y,z'
'-x,-y,-z'
'-x,y,-z'
'x,-y,z'
loop_
_atom_site_label
_atom_site_type_symbol
_atom_site_fract_x
_atom_site_fract_y
_atom_site_fract_z
_atom_site_occupancy
Co1 Co 0.000 0.000 0.000 1
Co2 Co 0.044 0.000 0.330 1
Co3 Co 0.345 0.000 0.860 1
B1 B 0.433 0.000 0.381 1
W1 W 0.272 0.500 0.565 1
W2 W 0.313 0.500 0.154 1
# Calculated volume: 130.0 Å³ per cell
# Final energy: -9.165 eV per atom

[2]
# CoB3W (PBE, relaxed)
data_CoB3W
_chemical_formula_sum 'Co1 B3 W1'
_symmetry_space_group_name_H-M 'P m -3 m'
_symmetry_Int_Tables_number 221
_symmetry_space_group_name_Hall '-P 4 2 3'
_cell_length_a 3.677
_cell_length_b 3.677
_cell_length_c 3.677
_cell_angle_alpha 90.00
_cell_angle_beta 90.00
_cell_angle_gamma 90.00
loop_
_atom_site_label
_atom_site_type_symbol
_atom_site_fract_x
_atom_site_fract_y
_atom_site_fract_z
_atom_site_occupancy
Co1 Co 0.000 0.000 0.000 1
B1 B 0.000 0.000 0.500 1
W1 W 0.500 0.500 0.500 1
# Calculated volume: 49.7 Å³ per cell
# Polymorph energy (0 for the lowest one): 0.0000 eV per atom
# Final energy: -6.951 eV per atom

Number 1: DFT formation energy -0.011 eV/atom. Number 2: DFT formation energy 1.067 eV/atom.